## V3CuO8 (PBE+U)

Data for an optimized crystal structure of V3CuO8.

```
V3CuO8
1.0
5.0832 0.0080 0.3212
1.9710 4.6855 0.3212
0.0195 0.0130 6.4899
V Cu O
3 1 8
direct
0.6546 0.6546 0.2661
0.3454 0.3454 0.7339
0.0000 0.0000 0.5000
0.0000 0.0000 0.0000
0.2037 0.7309 0.7208
0.7782 0.7782 0.0480
0.7309 0.2037 0.7208
0.2273 0.2273 0.5346
0.2691 0.7963 0.2792
0.7727 0.7727 0.4654
0.7963 0.2691 0.2792
0.2218 0.2218 0.9520
```

Magnetization (μB per cell): 2.034
VASP energy (eV per atom): -7.106